1.
Compound: Ba2LiZn
Source: Alexandria
Functional: GGA-PBEsol
Structure: relaxed

Results
final energy = -1.994 eV/atom
calculated density = 4.129 g cm⁻³
formation energy = -33 meV/atom
SG = P4/mmm, No. 123

```
4
Lattice="5.791 0.000 0.000 0.000 5.791 0.000 0.000 0.000 4.162" Properties=species:S:1:pos:R:3 pbc="T T T"
Ba 0.000 2.896 0.000
Ba 2.896 0.000 0.000
Li 0.000 0.000 2.081
Zn 2.896 2.896 2.081
```

=====

2.
Compound: BaLi4Zn
Source: Alexandria
Functional: GGA-PBEsol
Structure: relaxed

Results
final energy = -1.907 eV/atom
calculated density = 2.845 g cm⁻³
formation energy = 26 meV/atom
SG = F-43m, No. 216

```
6
Lattice="0.000 4.067 4.067 4.067 0.000 4.067 4.067 4.067 0.000" Properties=species:S:1:pos:R:3 pbc="T T T"
Ba 0.000 0.000 0.000
Li 3.079 3.079 3.079
Li 5.055 5.055 3.079
Li 5.055 3.079 5.055
Li 3.079 5.055 5.055
Zn 6.101 6.101 6.101
```

=====

3.
Compound: Ba2LiZn
Source: Alexandria
Functional: GGA-PBEsol
Structure: relaxed

Results
final energy = -1.997 eV/atom
calculated density = 3.957 g cm⁻³
formation energy = -35 meV/atom
SG = Amm2, No. 38

```
8
Lattice="5.161 0.000 0.000 0.000 4.628 0.000 0.000 0.000 12.195" Properties=species:S:1:pos:R:3 pbc="T T T"
Ba 0.000 0.000 0.000
Ba 0.000 2.314 6.097
Ba 2.580 0.000 3.510
Ba 2.580 2.314 9.608
Li 0.000 0.000 8.516
Li 0.000 2.314 2.419
Zn 2.580 0.000 7.139
Zn 2.580 2.314 1.041
```

=====

4.
Compound: Ba2LiZn
Source: Alexandria
Functional: GGA-PBEsol
Structure: relaxed

Results
final energy = -1.966 eV/atom
calculated density = 4.068 g cm⁻³
formation energy = -5 meV/atom
SG = P4mm, No. 99

```
4
Lattice="3.974 0.000 0.000 0.000 3.974 0.000 0.000 0.000 8.968" Properties=species:S:1:pos:R:3 pbc="T T T"
Ba 0.000 0.000 0.000
Ba 1.987 1.987 3.529
Li 0.000 0.000 5.832
Zn 1.987 1.987 6.956
```

=====

5.
Compound: Ba2LiZn
Source: Alexandria
Functional: GGA-PBEsol
Structure: relaxed

Results
final energy = -1.971 eV/atom
calculated density = 4.217 g cm⁻³
formation energy = -9 meV/atom
SG = Imm2, No. 44

```
8
Lattice="3.970 0.000 0.000 0.000 5.763 0.000 0.000 0.000 11.943" Properties=species:S:1:pos:R:3 pbc="T T T"
Ba 0.000 0.000 0.000
Ba 0.000 2.882 2.313
Ba 1.985 0.000 8.285
Ba 1.985 2.882 5.971
Li 0.000 0.000 4.683
Li 1.985 2.882 10.654
Zn 0.000 2.882 8.767
Zn 1.985 0.000 2.795
```

=====

6.
Compound: BaLiZr2
Source: Alexandria
Functional: GGA-PBEsol
Structure: relaxed

Results
final energy = -5.043 eV/atom
calculated density = 5.388 g cm⁻³
formation energy = 531 meV/atom
SG = P4/mmm, No. 123

```
4
Lattice="3.409 0.000 0.000 0.000 3.409 0.000 0.000 0.000 8.666" Properties=species:S:1:pos:R:3 pbc="T T T"
Ba 0.000 0.000 0.000
Li 0.000 0.000 4.333
Zr 1.704 1.704 2.850
Zr 1.704 1.704 5.816
```

=====

7.
Compound: Ba2LiZr2
Source: Alexandria
Functional: GGA-PBEsol
Structure: relaxed

Results
final energy = -4.404 eV/atom
calculated density = 4.223 g cm⁻³
formation energy = 485 meV/atom
SG = I4/mmm, No. 139

```
10
Lattice="3.999 0.000 0.000 0.000 3.999 0.000 0.000 0.000 22.824" Properties=species:S:1:pos:R:3 pbc="T T T"
Ba 0.000 0.000 2.447
Ba 0.000 0.000 20.378
Ba 1.999 1.999 8.966
Ba 1.999 1.999 13.859
Li 0.000 0.000 11.412
Li 1.999 1.999 0.000
Zr 0.000 1.999 5.706
Zr 0.000 1.999 17.118
Zr 1.999 0.000 5.706
Zr 1.999 0.000 17.118
```

=====

8.
Compound: BaLiZr
Source: Alexandria
Functional: GGA-PBEsol
Structure: relaxed

Results
final energy = -3.888 eV/atom
calculated density = 4.628 g cm⁻³
distance to the lowest polymorph of the same formula = 0 meV/atom
formation energy = 514 meV/atom
SG = P3m1, No. 156

```
3
Lattice="3.375 0.000 0.000 -1.688 2.923 0.000 0.000 0.000 8.563" Properties=species:S:1:pos:R:3 pbc="T T T"
Ba 0.000 0.000 0.000
Li 0.000 1.949 5.461
Zr 1.688 0.974 2.995
```

=====

9.
Compound: BaLi2Zr
Source: Alexandria
Functional: GGA-PBEsol
Structure: relaxed

Results
final energy = -3.186 eV/atom
calculated density = 4.106 g cm⁻³
distance to the lowest polymorph of the same formula = 143 meV/atom
formation energy = 608 meV/atom
SG = F-43m, No. 216

```
16
Lattice="7.320 0.000 0.000 0.000 7.320 0.000 0.000 0.000 7.320" Properties=species:S:1:pos:R:3 pbc="T T T"
Ba 0.000 0.000 0.000
Ba 0.000 3.660 3.660
Ba 3.660 0.000 3.660
Ba 3.660 3.660 0.000
Li 0.000 0.000 3.660
Li 0.000 3.660 0.000
Li 1.830 1.830 1.830
Li 1.830 5.490 5.490
Li 3.660 0.000 0.000
Li 3.660 3.660 3.660
Li 5.490 1.830 5.490
Li 5.490 5.490 1.830
Zr 1.830 1.830 5.490
Zr 1.830 5.490 1.830
Zr 5.490 1.830 1.830
Zr 5.490 5.490 5.490
```

=====

10.
Compound: BaLiZr
Source: Alexandria
Functional: GGA-PBEsol
Structure: relaxed

Results
final energy = -3.882 eV/atom
calculated density = 4.651 g cm⁻³
distance to the lowest polymorph of the same formula = 7 meV/atom
formation energy = 520 meV/atom
SG = I4mm, No. 107

```
6
Lattice="3.260 0.000 0.000 0.000 3.260 0.000 0.000 0.000 15.819" Properties=species:S:1:pos:R:3 pbc="T T T"
Ba 0.000 0.000 0.000
Ba 1.630 1.630 7.910
Li 0.000 0.000 10.829
Li 1.630 1.630 2.919
Zr 0.000 0.000 5.082
Zr 1.630 1.630 12.991
```

=====

11.
Compound: BaLi2Zr
Source: Alexandria
Functional: GGA-PBEsol
Structure: relaxed

Results
final energy = -3.328 eV/atom
calculated density = 3.760 g cm⁻³
distance to the lowest polymorph of the same formula = 0 meV/atom
formation energy = 465 meV/atom
SG = C2/m, No. 12

```
8
Lattice="10.687 0.000 0.000 0.000 3.175 0.000 -0.645 0.000 6.310" Properties=species:S:1:pos:R:3 pbc="T T T"
Ba 0.000 0.000 0.000
Ba 5.344 1.588 0.000
Li 2.137 0.000 4.384
Li 2.561 1.588 1.926
Li 7.481 1.588 4.384
Li 7.905 0.000 1.926
Zr -0.322 1.588 3.155
Zr 5.021 0.000 3.155
```

=====

12.
Compound: Ba2LiZr
Source: Alexandria
Functional: GGA-PBEsol
Structure: relaxed

Results
final energy = -3.399 eV/atom
calculated density = 4.551 g cm⁻³
formation energy = 439 meV/atom
SG = R-3m, No. 166

```
12
Lattice="3.637 0.000 0.000 -1.818 3.150 0.000 0.000 0.000 35.629" Properties=species:S:1:pos:R:3 pbc="T T T"
Ba 0.000 0.000 8.789
Ba 0.000 0.000 26.839
Ba 0.000 2.100 14.963
Ba 0.000 2.100 32.542
Ba 1.818 1.050 3.087
Ba 1.818 1.050 20.666
Li 0.000 0.000 0.000
Li 0.000 2.100 23.752
Li 1.818 1.050 11.876
Zr 0.000 0.000 17.814
Zr 0.000 2.100 5.938
Zr 1.818 1.050 29.690
```

=====

13.
Compound: Ba3Lu2MoO9
Source: Alexandria
Functional: GGA-PBEsol
Structure: relaxed

Results
final energy = -8.045 eV/atom
uncorrected formation energy = -3.031 eV/atom
calculated density = 7.582 g cm⁻³
SG = P-3m1, No. 164

```
15
Lattice="5.916 0.000 0.000 -2.958 5.124 0.000 0.000 0.000 7.238" Properties=species:S:1:pos:R:3 pbc="T T T"
Ba 0.000 0.000 0.000
Ba 0.000 3.416 4.928
Ba 2.958 1.708 2.310
Lu 0.000 3.416 1.207
Lu 2.958 1.708 6.031
Mo 0.000 0.000 3.619
O -1.479 2.562 0.000
O 0.000 1.581 2.522
O -1.589 4.333 2.522
O 1.369 0.790 4.716
O 2.958 0.000 0.000
O 1.479 2.562 0.000
O 1.589 4.333 2.522
O 4.548 0.790 4.716
O 2.958 3.543 4.716
```

=====

14.
Compound: BaLu2O4
Source: Alexandria
Functional: GGA-PBEsol
Structure: relaxed

Results
final energy = -8.080 eV/atom
uncorrected formation energy = -3.381 eV/atom
calculated density = 8.965 g cm⁻³
distance to the lowest polymorph of the same formula = 46 meV/atom
SG = Cmcm, No. 63

```
14
Lattice="1.666 -5.475 0.000 1.666 5.475 0.000 0.000 0.000 11.195" Properties=species:S:1:pos:R:3 pbc="T T T"
Ba 1.666 4.240 8.396
Ba 1.666 -4.240 2.799
Lu 1.666 1.475 6.379
Lu 1.666 1.475 10.413
Lu 1.666 -1.475 0.782
Lu 1.666 -1.475 4.816
O 0.000 0.000 0.000
O 0.000 0.000 5.597
O 1.666 2.631 1.119
O 1.666 2.631 4.479
O 1.666 0.759 8.396
O 1.666 -0.759 2.799
O 1.666 -2.631 6.716
O 1.666 -2.631 10.076
```

=====

15.
Compound: Ba3Lu4O9
Source: Alexandria
Functional: GGA-PBEsol
Structure: relaxed

Results
final energy = -7.906 eV/atom
uncorrected formation energy = -3.332 eV/atom
calculated density = 8.300 g cm⁻³
SG = R3, No. 146

```
16
Lattice="2.974 1.717 8.202 -2.974 1.717 8.202 0.000 -3.434 8.202" Properties=species:S:1:pos:R:3 pbc="T T T"
Ba 0.000 0.000 0.000
Ba 0.000 0.000 3.963
Ba 0.000 0.000 14.317
Lu 0.000 0.000 7.348
Lu 0.000 0.000 10.404
Lu 0.000 0.000 18.148
Lu 0.000 0.000 21.210
O -1.599 -0.519 8.810
O -0.190 -1.720 6.082
O -1.395 1.024 6.082
O -1.389 -1.187 11.524
O 1.249 -1.125 8.810
O 0.350 1.644 8.810
O 1.584 0.696 6.082
O -0.333 1.796 11.524
O 1.722 -0.609 11.524
```

=====

16.
Compound: BaLu2O4
Source: Alexandria
Functional: GGA-PBEsol
Structure: relaxed

Results
final energy = -8.126 eV/atom
uncorrected formation energy = -3.427 eV/atom
calculated density = 9.080 g cm⁻³
distance to the lowest polymorph of the same formula = 0 meV/atom
SG = Pnma, No. 62

```
28
Lattice="10.206 0.000 0.000 0.000 3.350 0.000 0.000 0.000 11.796" Properties=species:S:1:pos:R:3 pbc="T T T"
Ba 2.518 0.837 1.775
Ba 2.585 2.512 7.673
Ba 7.621 0.837 4.123
Ba 7.688 2.512 10.021
Lu 0.741 0.837 4.600
Lu 0.792 0.837 10.527
Lu 4.311 2.512 4.629
Lu 4.362 2.512 10.498
Lu 5.843 0.837 1.298
Lu 5.895 0.837 7.168
Lu 9.413 2.512 1.269
Lu 9.465 2.512 7.196
O 0.193 2.512 9.231
O 0.694 0.837 6.769
O 1.147 2.512 0.199
O 2.138 2.512 4.095
O 2.964 0.837 9.993
O 3.955 0.837 6.097
O 4.409 2.512 0.871
O 4.909 0.837 3.333
O 5.296 2.512 8.463
O 5.797 0.837 10.925
O 6.250 2.512 5.699
O 7.241 2.512 1.803
O 8.067 0.837 7.701
O 9.058 0.837 11.597
O 9.512 2.512 5.027
O 10.012 0.837 2.565
```

=====

17.
Compound: Ba3LuRu2O9
Source: Alexandria
Functional: GGA-PBEsol
Structure: relaxed

Results
final energy = -7.579 eV/atom
uncorrected formation energy = -2.318 eV/atom
calculated density = 7.426 g cm⁻³
SG = P6_3/mmc, No. 194

```
30
Lattice="5.819 0.000 0.000 -2.910 5.040 0.000 0.000 0.000 14.228" Properties=species:S:1:pos:R:3 pbc="T T T"
Ba 0.000 0.000 3.557
Ba 0.000 0.000 10.671
Ba 0.000 3.360 1.313
Ba 0.000 3.360 5.801
Ba 2.910 1.680 8.427
Ba 2.910 1.680 12.915
Lu 0.000 0.000 0.000
Lu 0.000 0.000 7.114
Ru 0.000 3.360 9.441
Ru 0.000 3.360 11.902
Ru 2.910 1.680 2.327
Ru 2.910 1.680 4.787
O -1.375 2.566 10.671
O 0.000 1.761 8.343
O 0.000 1.761 13.000
O -1.384 4.159 8.343
O -1.384 4.159 13.000
O 1.525 0.881 1.229
O 1.525 0.881 5.885
O 1.375 2.566 10.671
O 0.000 4.947 10.671
O 2.910 0.093 3.557
O 1.535 2.474 3.557
O 1.384 4.159 8.343
O 1.384 4.159 13.000
O 4.294 0.881 1.229
O 4.294 0.881 5.885
O 2.910 3.278 1.229
O 2.910 3.278 5.885
O 4.284 2.474 3.557
```

=====

18.
Compound: Ba2LuTaO6
Source: Alexandria
Functional: GGA-PBEsol
Structure: relaxed

Results
final energy = -8.584 eV/atom
uncorrected formation energy = -3.262 eV/atom
calculated density = 8.323 g cm⁻³
SG = Fm-3m, No. 225

```
10
Lattice="0.000 4.169 4.169 4.169 0.000 4.169 4.169 4.169 0.000" Properties=species:S:1:pos:R:3 pbc="T T T"
Ba 2.085 2.085 2.085
Ba 6.254 6.254 6.254
Lu 0.000 0.000 0.000
Ta 4.169 4.169 4.169
O 4.169 4.169 2.173
O 4.169 2.173 4.169
O 6.166 4.169 4.169
O 2.173 4.169 4.169
O 4.169 6.166 4.169
O 4.169 4.169 6.166
```

=====

19.
Compound: Ba6Lu2W3O18
Source: Alexandria
Functional: GGA-PBEsol
Structure: relaxed

Results
final energy = -8.387 eV/atom
uncorrected formation energy = -2.920 eV/atom
calculated density = 8.030 g cm⁻³
SG = R-3m, No. 166

```
29
Lattice="2.914 1.682 14.154 -2.914 1.682 14.154 0.000 -3.365 14.154" Properties=species:S:1:pos:R:3 pbc="T T T"
Ba 0.000 0.000 3.719
Ba 0.000 0.000 7.968
Ba 0.000 0.000 15.435
Ba 0.000 0.000 27.026
Ba 0.000 0.000 34.493
Ba 0.000 0.000 38.742
Lu 0.000 0.000 11.694
Lu 0.000 0.000 30.767
W 0.000 0.000 0.000
W 0.000 0.000 19.043
W 0.000 0.000 23.417
O -1.363 -0.787 17.741
O 0.000 -1.779 13.049
O -1.541 0.889 13.049
O -1.395 -0.806 22.512
O 0.000 -1.611 19.949
O -1.395 0.806 19.949
O -1.541 -0.889 29.412
O 0.000 -1.574 24.720
O -1.363 0.787 24.720
O 1.363 -0.787 17.741
O 0.000 1.574 17.741
O 1.541 0.889 13.049
O 1.395 -0.806 22.512
O 0.000 1.611 22.512
O 1.395 0.806 19.949
O 1.541 -0.889 29.412
O 0.000 1.779 29.412
O 1.363 0.787 24.720
```

=====

20.
Compound: BaLu2S4
Source: Alexandria
Functional: GGA-PBEsol
Structure: relaxed

Results
final energy = -6.379 eV/atom
uncorrected formation energy = -2.175 eV/atom
calculated density = 6.141 g cm⁻³
SG = Pnma, No. 62

```
28
Lattice="12.005 0.000 0.000 0.000 3.921 0.000 0.000 0.000 14.143" Properties=species:S:1:pos:R:3 pbc="T T T"
Ba 2.900 0.980 2.308
Ba 3.103 2.941 9.379
Ba 8.902 0.980 4.763
Ba 9.105 2.941 11.835
Lu 0.788 0.980 5.544
Lu 0.940 0.980 12.716
Lu 5.063 2.941 5.645
Lu 5.214 2.941 12.616
Lu 6.791 0.980 1.527
Lu 6.942 0.980 8.498
Lu 11.065 2.941 1.427
Lu 11.216 2.941 8.598
S 0.278 2.941 11.071
S 0.971 0.980 8.156
S 1.472 2.941 0.320
S 2.485 2.941 4.838
S 3.518 0.980 11.909
S 4.531 0.980 7.391
S 5.031 2.941 1.085
S 5.725 0.980 3.999
S 6.280 2.941 10.143
S 6.974 0.980 13.058
S 7.474 2.941 6.751
S 8.487 2.941 2.234
S 9.520 0.980 9.305
S 10.533 0.980 13.823
S 11.033 2.941 5.987
S 11.727 0.980 3.072
```